ZrSb2Os | PBE | optimized geometry

Structure (POSCAR):
```
ZrSb2Os
1.0
3.101 -4.448 0.000
3.101 4.448 0.000
-1.119 0.000 2.997
Zr Sb Os
1 2 1
direct
0.000 0.000 0.000
0.000 0.500 0.500
0.500 0.000 0.500
0.500 0.500 0.000
```

Properties
As for the space group: C2/m. The value obtained for the energy above the most stable polymorph in this dataset is 0.493 eV per atom.

***

InSnN2F | PBE | optimized geometry

Structure (POSCAR):
```
InSnN2F
1.0
4.296 0.000 0.000
0.000 4.296 0.000
0.000 0.000 4.277
In Sn N F
1 1 2 1
direct
0.000 0.000 0.000
0.500 0.500 0.500
0.000 0.500 0.000
0.500 0.000 0.000
0.000 0.000 0.500
```

Properties
As for the space group: P4/mmm. The value obtained for the energy above the most stable polymorph in this dataset is 0.177 eV per atom.

***

Y2TeH | PBE | optimized geometry

Structure (POSCAR):
```
Y2TeH
1.0
8.035 0.000 0.000
0.000 6.341 0.000
-1.475 0.000 7.163
Y Te H
8 4 4
direct
0.057 0.143 0.314
0.057 0.357 0.814
0.312 0.663 0.529
0.312 0.837 0.029
0.688 0.163 0.971
0.688 0.337 0.471
0.943 0.643 0.186
0.943 0.857 0.686
0.347 0.128 0.676
0.347 0.372 0.176
0.653 0.628 0.824
0.653 0.872 0.324
0.063 0.675 0.939
0.063 0.825 0.439
0.937 0.175 0.561
0.937 0.325 0.061
```

Properties
As for the space group: P2_1/c. The value obtained for the energy above the most stable polymorph in this dataset is 0.000 eV per atom.

***

Ba4Na5Pt2 | PBE | optimized geometry

Structure (POSCAR):
```
Ba4Na5Pt2
1.0
9.566 0.000 0.000
0.000 4.279 0.000
-0.519 0.000 11.040
Ba Na Pt
4 5 2
direct
0.157 0.000 0.324
0.194 0.000 0.949
0.806 0.000 0.051
0.843 0.000 0.676
0.177 0.500 0.651
0.458 0.500 0.171
0.500 0.500 0.500
0.542 0.500 0.829
0.823 0.500 0.349
0.046 0.500 0.132
0.954 0.500 0.868
```

Properties
As for the space group: P2/m. For the formation energy, the calculation gives -295 meV/atom.

***

Let's list mass density in order: 10.5 5.9 5.6 3.9 g/cm3.